# AcSmDyZn

Crystalline AcSmDyZn at its relaxed geometry (PBE-GGA, the Alexandria database).

```
AcSmDyZn
1.0
3.6977 0.0000 0.0000
0.0000 3.6977 0.0000
0.0000 0.0000 8.9801
Ac Sm Dy Zn
1 1 1 1
Cartesian
0.0000 0.0000 0.0000 Ac
1.8488 1.8488 6.1944 Sm
1.8488 1.8488 2.7143 Dy
0.0000 0.0000 4.3781 Zn
```

Computed properties:
- space-group type = No. 99
- crystal system = tetragonal
- ΔE to the lowest computed polymorph (meV per atom) = 0.0



# AcDySn

Crystalline AcDySn at its relaxed geometry (PBE-GGA, the Alexandria database).

```
AcDySn
1.0
-2.0937 2.0937 5.5502
2.0937 -2.0937 5.5502
2.0937 2.0937 -5.5502
Ac Dy Sn
1 1 1
Cartesian
0.0000 0.0000 0.0000 Ac
0.0000 0.0000 7.7954 Dy
0.0000 0.0000 3.5564 Sn
```

Computed properties:
- space-group type = No. 107
- crystal system = tetragonal
- ΔE to the lowest computed polymorph (meV per atom) = 196.2



# AcDy2Sn

Crystalline AcDy2Sn at its relaxed geometry (PBE-GGA, the Alexandria database).

```
AcDy2Sn
1.0
3.8755 0.0000 0.0000
0.0000 3.8755 0.0000
0.0000 0.0000 8.5492
Ac Dy Sn
1 2 1
Cartesian
0.0000 0.0000 0.0000 Ac
1.9377 1.9377 2.5306 Dy
1.9377 1.9377 6.0186 Dy
0.0000 0.0000 4.2746 Sn
```

Computed properties:
- space-group type = No. 123
- crystal system = tetragonal
- ΔE to the lowest computed polymorph (meV per atom) = 45.1



# Ac4DySn4

Crystalline Ac4DySn4 at its relaxed geometry (PBE-GGA, the Alexandria database).

```
Ac4DySn4
1.0
9.8630 0.0000 0.0000
0.0000 9.8630 0.0000
0.0000 0.0000 6.8730
Ac Dy Sn
8 2 8
Cartesian
0.3697 6.6597 0.7464 Ac
1.7281 9.4933 4.1829 Ac
3.2034 5.3012 4.1829 Ac
4.5618 8.1349 0.7464 Ac
5.3012 1.7281 6.1266 Ac
6.6597 4.5618 2.6901 Ac
8.1349 0.3697 2.6901 Ac
9.4933 3.2034 6.1266 Ac
2.4658 2.4658 1.7182 Dy
7.3973 7.3973 5.1547 Dy
0.0807 6.3375 4.1120 Sn
1.4060 9.7823 0.6756 Sn
3.5255 5.0122 0.6756 Sn
4.8508 8.4570 4.1120 Sn
5.0122 1.4060 2.7609 Sn
6.3375 4.8508 6.1974 Sn
8.4570 0.0807 6.1974 Sn
9.7823 3.5255 2.7609 Sn
```

Computed properties:
- space-group type = No. 86
- crystal system = tetragonal



Summary of formation energy in eV per formula unit
-0.50; -1.12; -1.15; -4.59
(order as listed above)
Summary of N(E_F) in states/eV/cell
6.0; 4.3; 5.6; 15.9
(order as listed above)